Compound: TmSc2TaO8
Source: Alexandria via LeMat-Bulk
Functional: GGA-PBE
Structure: optimized geometry

a b c (Å): 4.8905 4.8905 6.5668
angles (deg): 90.00 90.00 90.19
Closest atoms and distances in Å follow each position.
Fractional positions:
1 Tm 0.0000 0.0000 0.0000  6 O 2.18-2.26
2 Sc 0.5000 0.5000 0.2484  6 O 2.08-2.20
3 Sc 0.5000 0.5000 0.7516  6 O 2.08-2.20
4 Ta 0.0000 0.0000 0.5000  6 O 2.00-2.02
5 O 0.1950 0.1950 0.2757  1 Ta 2.00, 1 Sc 2.11
6 O 0.1950 0.1950 0.7243  1 Ta 2.00, 1 Sc 2.11
7 O 0.2911 0.7089 0.5000  1 Ta 2.02, 2 Sc 2.20
8 O 0.3148 0.6852 0.0000  2 Sc 2.08, 1 Tm 2.18
9 O 0.6852 0.3148 0.0000  2 Sc 2.08, 1 Tm 2.18
10 O 0.7089 0.2911 0.5000  1 Ta 2.02, 2 Sc 2.20
11 O 0.8050 0.8050 0.2757  1 Ta 2.00, 1 Sc 2.11
12 O 0.8050 0.8050 0.7243  1 Ta 2.00, 1 Sc 2.11

Computed properties:
Volume = 157 Å³/cell
E = -8.623 eV/atom
Raw formation energy = -2.902 eV/atom
N(E_F) = 8.0 states/eV/f.u.
Theoretical density = 6.0 g/cm3
Space group = Cmmm, No. 65